{"formula": "Ba2InIrAu", "functional": "PBE", "state": "relaxed", "e_form_ev_per_atom": -0.282, "cell": [[6.028, 0.000, 0.000], [0.000, 6.028, 0.000], [0.000, 0.000, 5.137]], "species": ["Ba", "Ba", "In", "Ir", "Au"], "fractional_positions": [[0.000, 0.500, 0.000], [0.500, 0.000, 0.000], [0.000, 0.000, 0.500], [0.000, 0.000, 0.000], [0.500, 0.500, 0.500]]}

{"formula": "BeVNiOs", "functional": "PBE", "state": "relaxed", "e_form_ev_per_atom": -0.232, "cell": [[5.744, 0.000, 0.000], [0.000, 5.744, 0.000], [0.000, 0.000, 5.744]], "species": ["Be", "Be", "Be", "Be", "V", "V", "V", "V", "Ni", "Ni", "Ni", "Ni", "Os", "Os", "Os", "Os"], "fractional_positions": [[0.000, 0.000, 0.000], [0.000, 0.500, 0.500], [0.500, 0.000, 0.500], [0.500, 0.500, 0.000], [0.000, 0.000, 0.500], [0.000, 0.500, 0.000], [0.500, 0.000, 0.000], [0.500, 0.500, 0.500], [0.250, 0.250, 0.250], [0.250, 0.750, 0.750], [0.750, 0.250, 0.750], [0.750, 0.750, 0.250], [0.250, 0.250, 0.750], [0.250, 0.750, 0.250], [0.750, 0.250, 0.250], [0.750, 0.750, 0.750]]}

{"formula": "Sr2Zn4CuAu3", "functional": "PBE", "state": "relaxed", "e_form_ev_per_atom": -0.432, "cell": [[4.517, 0.000, 0.000], [0.000, 4.517, 0.000], [0.000, 0.000, 10.556]], "species": ["Sr", "Sr", "Zn", "Zn", "Zn", "Zn", "Cu", "Au", "Au", "Au"], "fractional_positions": [[0.000, 0.500, 0.243], [0.500, 0.000, 0.757], [0.000, 0.000, 0.500], [0.000, 0.500, 0.882], [0.500, 0.000, 0.118], [0.500, 0.500, 0.500], [0.500, 0.500, 0.000], [0.000, 0.000, 0.000], [0.000, 0.500, 0.635], [0.500, 0.000, 0.365]]}